Density functional theory data (GGA+U) for BaNiO after structural relaxation.

Cell and atoms, written as POSCAR:
```
BaNiO
1.0
6.5768 -1.9711 0.0000
6.5768 1.9711 0.0000
-1.0700 0.0000 4.9606
Ba Ni O
2 2 2
Direct
0.0000 0.0000 0.0000
0.2160 0.2160 0.6954
0.3851 0.3851 0.3656
0.7730 0.7730 0.1956
0.6373 0.6373 0.9243
0.9105 0.9105 0.4950
```

Results
The space group is Cm. Its excess energy over the best structure of this formula in the dataset is 265.2 meV per atom. The total energy comes out at -24.4 eV for the cell shown.


Density functional theory data (GGA+U) for BaNiO after structural relaxation.

Cell and atoms, written as POSCAR:
```
BaNiO
1.0
1.8848 -4.3436 0.0000
1.8848 4.3436 0.0000
0.0000 0.0000 8.1264
Ba Ni O
2 2 2
Direct
0.0000 0.0000 0.0000
0.0000 0.0000 0.5000
0.2838 0.7162 0.7500
0.7162 0.2838 0.2500
0.4873 0.5127 0.7500
0.5127 0.4873 0.2500
```

Results
The space group is Cmcm. Its excess energy over the best structure of this formula in the dataset is 630.4 meV per atom. The total energy comes out at -22.2 eV for the cell shown.